Tb2SmTm3: optimized geometry, PBE.

Lattice parameters (Å, degrees): 17.330 7.074 6.109 90.00 90.24 90.00
Space group C2/c (No. 15)
Unique sites:
Tb  0.167  0.125  0.417 [8 per cell]
Sm  0.000  0.375  0.250 [4 per cell]
Tm  0.000  0.124  0.750 [4 per cell]
Tm  0.167  0.375  0.917 [8 per cell]

## Properties
* crystal system: monoclinic
* calculated volume: 31.2 Å³/atom
* calculated formation energy: 0.023 eV/atom